# Ca4ZrSe | Alexandria via LeMat-Bulk | PBE-GGA | optimized geometry
data_Ca4ZrSe
_chemical_formula_sum 'Ca4 Zr1 Se1'
_symmetry_space_group_name_H-M 'P 1'
_symmetry_Int_Tables_number 1
_cell_length_a 6.5875
_cell_length_b 6.5875
_cell_length_c 6.5875
_cell_angle_alpha 60.00
_cell_angle_beta 60.00
_cell_angle_gamma 60.00
loop_
_symmetry_equiv_pos_as_xyz
'x,y,z'
loop_
_atom_site_label
_atom_site_type_symbol
_atom_site_fract_x
_atom_site_fract_y
_atom_site_fract_z
Ca1 Ca 0.8767 0.3744 0.3744
Ca2 Ca 0.3744 0.3744 0.8767
Ca3 Ca 0.3744 0.3744 0.3744
Ca4 Ca 0.3744 0.8767 0.3744
Se1 Se 0.7500 0.7500 0.7500
Zr1 Zr 0.0000 0.0000 0.0000
# crystal system: cubic
# symmetry: F-43m, No. 216

***

# Ca2ZrSe | Alexandria via LeMat-Bulk | PBE-GGA | optimized geometry
data_Ca2ZrSe
_chemical_formula_sum 'Ca2 Zr1 Se1'
_symmetry_space_group_name_H-M 'P 1'
_symmetry_Int_Tables_number 1
_cell_length_a 6.3122
_cell_length_b 6.3122
_cell_length_c 6.3122
_cell_angle_alpha 138.48
_cell_angle_beta 138.48
_cell_angle_gamma 60.17
loop_
_symmetry_equiv_pos_as_xyz
'x,y,z'
loop_
_atom_site_label
_atom_site_type_symbol
_atom_site_fract_x
_atom_site_fract_y
_atom_site_fract_z
Ca1 Ca 0.2500 0.7500 0.5000
Ca2 Ca 0.0000 0.0000 0.0000
Se1 Se 0.5000 0.5000 0.0000
Zr1 Zr 0.7500 0.2500 0.5000
# crystal system: tetragonal
# symmetry: I-4m2, No. 119

***

Number 1: formation energy without anion corrections 0.404 eV/atom, E_tot -2.936 eV/atom, total magnetic moment 3.71 μB per formula unit. Number 2: formation energy without anion corrections -0.153 eV/atom, E_tot -4.162 eV/atom, total magnetic moment 1.94 μB per formula unit.